DFT (PBE) results for HgP2Ir after structural relaxation.

Spin magnetization ... 0.0 μB per formula unit
Calculated formation energy ... 766 meV/atom
Electronic total energy ... -0.155 hartree per atom

Lattice parameters (Å, degrees): 2.9845 4.6938 4.7250 90.00 90.00 90.00
Space group Pmmm (No. 47)
One atom of each set of equivalent atoms:
Hg 0.0000 0.0000 0.0000 x1
P 0.0000 0.5000 0.5000 x1
P 0.5000 0.5000 0.0000 x1
Ir 0.5000 0.0000 0.5000 x1

DFT (PBE) results for Hg2PIr after structural relaxation.

Spin magnetization ... 0.0 μB per formula unit
Calculated formation energy ... 634 meV/atom
Electronic total energy ... -0.113 hartree per atom

Lattice parameters (Å, degrees): 3.1877 5.1856 4.5334 90.00 92.52 90.00
Space group P2/m (No. 10)
One atom of each set of equivalent atoms:
Hg 0.2494 0.0000 0.2511 x2
P 0.0000 0.5000 0.0000 x1
Ir 0.5000 0.5000 0.5000 x1

DFT (PBE) results for Hg2PIrPd after structural relaxation.

Spin magnetization ... 0.5 μB per formula unit
Calculated formation energy ... 1070 meV/atom
Electronic total energy ... -0.108 hartree per atom

Lattice parameters (Å, degrees): 5.1384 5.1384 4.3562 90.00 90.00 90.00
Space group P4/mmm (No. 123)
One atom of each set of equivalent atoms:
Hg 0.0000 0.5000 0.0000 x2
P 0.0000 0.0000 0.5000 x1
Ir 0.5000 0.5000 0.5000 x1
Pd 0.0000 0.0000 0.0000 x1

DFT (PBE) results for HgPIr2Ru after structural relaxation.

Spin magnetization ... 0.0 μB per formula unit
Calculated formation energy ... 436 meV/atom
Electronic total energy ... -0.224 hartree per atom

Lattice parameters (Å, degrees): 4.4258 4.4258 4.4036 90.00 90.00 90.00
Space group P4/mmm (No. 123)
One atom of each set of equivalent atoms:
Hg 0.0000 0.0000 0.0000 x1
P 0.5000 0.5000 0.5000 x1
Ir 0.0000 0.5000 0.5000 x2
Ru 0.5000 0.5000 0.0000 x1

DFT (PBE) results for HgP2IrS after structural relaxation.

Excess energy over the best structure of this formula in the dataset ... 1417 meV per atom
Spin magnetization ... 0.3 μB per formula unit
E_form (uncorrected) ... 1.978 eV/atom
Electronic total energy ... -0.104 hartree per atom

Lattice parameters (Å, degrees): 4.8423 4.8423 4.8421 90.00 90.00 90.00
Space group P4/mmm (No. 123)
One atom of each set of equivalent atoms:
Hg 0.0000 0.0000 0.0000 x1
P 0.0000 0.5000 0.0000 x2
Ir 0.5000 0.5000 0.5000 x1
S 0.0000 0.0000 0.5000 x1

DFT (PBE) results for HgP2IrS after structural relaxation.

Excess energy over the best structure of this formula in the dataset ... 0 meV per atom
Spin magnetization ... 0.0 μB per formula unit
E_form (uncorrected) ... 0.561 eV/atom
Electronic total energy ... -0.157 hartree per atom

Lattice parameters (Å, degrees): 4.4901 4.4901 5.3447 90.00 90.00 90.00
Space group P4/mmm (No. 123)
One atom of each set of equivalent atoms:
Hg 0.0000 0.0000 0.0000 x1
P 0.0000 0.5000 0.5000 x2
Ir 0.5000 0.5000 0.5000 x1
S 0.5000 0.5000 0.0000 x1

DFT (PBE) results for SnHgP2Ir after structural relaxation.

Spin magnetization ... 0.0 μB per formula unit
Calculated formation energy ... 452 meV/atom
Electronic total energy ... -0.160 hartree per atom

Lattice parameters (Å, degrees): 4.5904 4.5904 5.4143 90.00 90.00 90.00
Space group P4/mmm (No. 123)
One atom of each set of equivalent atoms:
Sn 0.0000 0.0000 0.0000 x1
Hg 0.5000 0.5000 0.0000 x1
P 0.0000 0.5000 0.5000 x2
Ir 0.5000 0.5000 0.5000 x1

DFT (PBE) results for Sr2HgPIr after structural relaxation.

Excess energy over the best structure of this formula in the dataset ... 0 meV per atom
Spin magnetization ... 0.0 μB per formula unit
Calculated formation energy ... -538 meV/atom
Electronic total energy ... -0.152 hartree per atom

Lattice parameters (Å, degrees): 5.8626 5.8626 4.3460 90.00 90.00 90.00
Space group P4/mmm (No. 123)
One atom of each set of equivalent atoms:
Sr 0.0000 0.5000 0.0000 x2
Hg 0.0000 0.0000 0.5000 x1
P 0.5000 0.5000 0.0000 x1
Ir 0.5000 0.5000 0.5000 x1

What did the sixth record say?
DFT (PBE) results for HgP2IrS after structural relaxation.

Excess energy over the best structure of this formula in the dataset ... 0 meV per atom
Spin magnetization ... 0.0 μB per formula unit
E_form (uncorrected) ... 0.561 eV/atom
Electronic total energy ... -0.157 hartree per atom

Lattice parameters (Å, degrees): 4.4901 4.4901 5.3447 90.00 90.00 90.00
Space group P4/mmm (No. 123)
One atom of each set of equivalent atoms:
Hg 0.0000 0.0000 0.0000 x1
P 0.0000 0.5000 0.5000 x2
Ir 0.5000 0.5000 0.5000 x1
S 0.5000 0.5000 0.0000 x1